The following is a PBE calculation of crystalline Ta2BPb at its relaxed geometry, from the Alexandria database.

Cell: 4.5799 4.5799 4.5799 Å, 60.00 60.00 60.00°
With the nearest neighbours (Å) after each atom.
Element x y z (fractional)
Ta (0.2500, 0.2500, 0.2500)  4 Pb 2.80, 4 B 2.80
Ta (0.7500, 0.7500, 0.7500)  4 Pb 2.80, 4 B 2.80
B (0.0000, 0.0000, 0.0000)  8 Ta 2.80
Pb (0.5000, 0.5000, 0.5000)  8 Ta 2.80

Computed properties:
Energy above the most stable polymorph in this dataset ... 0.078 eV per atom
Calculated density ... 14.2 Mg/m³
Total magnetization ... 0.0 μB/f.u.
DOS(E_F) ... 4.16 states/eV/cell
ΔH_f (0 K) ... 1.055 eV/atom